(1)
# PBEsol YZnCuAs2, optimized geometry
# **Total magnetization**: 0.00 μB/atom
# **Total DFT energy (no corrections)**: -26.37 eV for the cell shown
# **ΔE_f**: -0.685 eV/atom
data_YZnCuAs2
_cell_length_a 4.0593
_cell_length_b 4.0593
_cell_length_c 6.6310
_cell_angle_alpha 90.00
_cell_angle_beta 90.00
_cell_angle_gamma 120.00
_space_group_name_H-M_alt 'P 3 m 1'
_space_group_IT_number 156
loop_
_space_group_symop_operation_xyz
'x,y,z'
'-y,x-y,z'
'-x+y,-x,z'
'-y,-x,z'
'-x+y,y,z'
'x,x-y,z'
loop_
_atom_site_label
_atom_site_fract_x
_atom_site_fract_y
_atom_site_fract_z
Y1 0.0000 0.0000 0.0000
Zn1 0.3333 0.6667 0.6094
Cu1 0.6667 0.3333 0.3423
As1 0.3333 0.6667 0.2379
As2 0.6667 0.3333 0.7329

***

(2)
# PBEsol ZnCu2As, optimized geometry
# **Total magnetization**: 0.00 μB/atom
# **Total DFT energy (no corrections)**: -14.91 eV for the cell shown
# **E above lowest polymorph**: 0.0594 eV per atom
# **ΔE_f**: 0.111 eV/atom
data_ZnCu2As
_cell_length_a 2.725
_cell_length_b 2.725
_cell_length_c 7.498
_cell_angle_alpha 90.00
_cell_angle_beta 90.00
_cell_angle_gamma 90.00
_space_group_name_H-M_alt 'P 4 m m'
_space_group_IT_number 99
loop_
_space_group_symop_operation_xyz
'x,y,z'
'-y,x,z'
'-x,-y,z'
'y,-x,z'
'-x,y,z'
'y,x,z'
'x,-y,z'
'-y,-x,z'
loop_
_atom_site_label
_atom_site_fract_x
_atom_site_fract_y
_atom_site_fract_z
Zn1 0.000 0.000 0.000
Cu1 0.000 0.000 0.565
Cu2 0.500 0.500 0.783
As1 0.500 0.500 0.319

***

(3)
# PBEsol ZnCuAs2, optimized geometry
# **Total magnetization**: 0.00 μB/atom
# **Total DFT energy (no corrections)**: -15.42 eV for the cell shown
# **ΔE_f**: 0.178 eV/atom
data_ZnCuAs2
_cell_length_a 3.125
_cell_length_b 3.125
_cell_length_c 6.910
_cell_angle_alpha 90.00
_cell_angle_beta 90.00
_cell_angle_gamma 90.00
_space_group_name_H-M_alt 'P 4 m m'
_space_group_IT_number 99
loop_
_space_group_symop_operation_xyz
'x,y,z'
'-y,x,z'
'-x,-y,z'
'y,-x,z'
'-x,y,z'
'y,x,z'
'x,-y,z'
'-y,-x,z'
loop_
_atom_site_label
_atom_site_fract_x
_atom_site_fract_y
_atom_site_fract_z
Zn1 0.000 0.000 0.000
Cu1 0.500 0.500 0.804
As1 0.000 0.000 0.617
As2 0.500 0.500 0.210

***

(4)
# PBEsol ZnCu2As, optimized geometry
# **Total magnetization**: 0.00 μB/atom
# **Total DFT energy (no corrections)**: -30.30 eV for the cell shown
# **E above lowest polymorph**: 0.0000 eV per atom
# **ΔE_f**: 0.052 eV/atom
data_ZnCu2As
_cell_length_a 3.692
_cell_length_b 3.692
_cell_length_c 7.838
_cell_angle_alpha 90.00
_cell_angle_beta 90.00
_cell_angle_gamma 90.00
_space_group_name_H-M_alt 'I -4 m 2'
_space_group_IT_number 119
_space_group_name_Hall 'I -4 -2'
loop_
_atom_site_label
_atom_site_fract_x
_atom_site_fract_y
_atom_site_fract_z
Zn1 0.000 0.000 0.000
Cu1 0.000 0.000 0.500
Cu2 0.000 0.500 0.250
As1 0.000 0.500 0.750

***

(5)
# PBEsol ZnCu2As, optimized geometry
# **Total magnetization**: 0.00 μB/atom
# **Total DFT energy (no corrections)**: -29.97 eV for the cell shown
# **E above lowest polymorph**: 0.0407 eV per atom
# **ΔE_f**: 0.092 eV/atom
data_ZnCu2As
_cell_length_a 8.947
_cell_length_b 2.726
_cell_length_c 4.519
_cell_angle_alpha 90.00
_cell_angle_beta 99.23
_cell_angle_gamma 90.00
_space_group_name_H-M_alt 'C 1 m 1'
_space_group_IT_number 8
loop_
_space_group_symop_operation_xyz
'x,y,z'
'x,-y,z'
'x+1/2,y+1/2,z'
'x+1/2,-y+1/2,z'
loop_
_atom_site_label
_atom_site_fract_x
_atom_site_fract_y
_atom_site_fract_z
Zn1 0.000 0.000 0.000
Cu1 0.248 0.500 0.208
Cu2 0.482 0.000 0.470
As1 0.229 0.000 0.690

***

(6)
# PBEsol ZnCu2As, optimized geometry
# **Total magnetization**: 0.00 μB/atom
# **Total DFT energy (no corrections)**: -15.13 eV for the cell shown
# **E above lowest polymorph**: 0.0056 eV per atom
# **ΔE_f**: 0.057 eV/atom
data_ZnCu2As
_cell_length_a 2.950
_cell_length_b 3.567
_cell_length_c 5.148
_cell_angle_alpha 90.00
_cell_angle_beta 90.00
_cell_angle_gamma 90.00
_space_group_name_H-M_alt 'P m m 2'
_space_group_IT_number 25
loop_
_space_group_symop_operation_xyz
'x,y,z'
'-x,-y,z'
'-x,y,z'
'x,-y,z'
loop_
_atom_site_label
_atom_site_fract_x
_atom_site_fract_y
_atom_site_fract_z
Zn1 0.000 0.000 0.000
Cu1 0.000 0.000 0.524
Cu2 0.500 0.500 0.777
As1 0.500 0.500 0.294

***

(7)
# PBEsol ZrCu3As, optimized geometry
# **Total magnetization**: 0.00 μB/atom
# **Total DFT energy (no corrections)**: -24.93 eV for the cell shown
# **ΔE_f**: 0.453 eV/atom
data_ZrCu3As
_cell_length_a 4.381
_cell_length_b 4.381
_cell_length_c 4.381
_cell_angle_alpha 90.00
_cell_angle_beta 90.00
_cell_angle_gamma 90.00
_space_group_name_H-M_alt 'P m -3 m'
_space_group_IT_number 221
_space_group_name_Hall '-P 4 2 3'
loop_
_atom_site_label
_atom_site_fract_x
_atom_site_fract_y
_atom_site_fract_z
Zr1 0.000 0.000 0.000
Cu1 0.000 0.500 0.500
As1 0.500 0.500 0.500

***

(8)
# PBEsol Zr3CuAs, optimized geometry
# **Total magnetization**: 0.00 μB/atom
# **Total DFT energy (no corrections)**: -35.12 eV for the cell shown
# **ΔE_f**: 0.318 eV/atom
data_Zr3CuAs
_cell_length_a 4.793
_cell_length_b 4.793
_cell_length_c 4.793
_cell_angle_alpha 90.00
_cell_angle_beta 90.00
_cell_angle_gamma 90.00
_space_group_name_H-M_alt 'P m -3 m'
_space_group_IT_number 221
_space_group_name_Hall '-P 4 2 3'
loop_
_atom_site_label
_atom_site_fract_x
_atom_site_fract_y
_atom_site_fract_z
Zr1 0.000 0.000 0.500
Cu1 0.000 0.000 0.000
As1 0.500 0.500 0.500

***

(9)
# PBEsol ZrCu2As, optimized geometry
# **Total magnetization**: 0.00 μB/atom
# **Total DFT energy (no corrections)**: -67.52 eV for the cell shown
# **ΔE_f**: 0.089 eV/atom
data_ZrCu2As
_cell_length_a 2.9562
_cell_length_b 2.9562
_cell_length_c 24.9858
_cell_angle_alpha 90.00
_cell_angle_beta 90.00
_cell_angle_gamma 120.00
_space_group_name_H-M_alt 'R 3 m'
_space_group_IT_number 160
_space_group_name_Hall 'R 3 -2"'
loop_
_atom_site_label
_atom_site_fract_x
_atom_site_fract_y
_atom_site_fract_z
Zr1 0.0000 0.0000 0.0000
Cu1 0.0000 0.0000 0.2443
Cu2 0.0000 0.0000 0.5044
As1 0.0000 0.0000 0.7599

***

(10)
# PBEsol ZrCu2As, optimized geometry
# **Total magnetization**: 0.00 μB/atom
# **Total DFT energy (no corrections)**: -23.44 eV for the cell shown
# **ΔE_f**: -0.143 eV/atom
data_ZrCu2As
_cell_length_a 3.421
_cell_length_b 3.421
_cell_length_c 5.341
_cell_angle_alpha 90.00
_cell_angle_beta 90.00
_cell_angle_gamma 90.00
_space_group_name_H-M_alt 'P 4/m m m'
_space_group_IT_number 123
_space_group_name_Hall '-P 4 2'
loop_
_atom_site_label
_atom_site_fract_x
_atom_site_fract_y
_atom_site_fract_z
Zr1 0.000 0.000 0.000
Cu1 0.500 0.500 0.260
As1 0.000 0.000 0.500

***

(11)
# PBEsol DyAs, optimized geometry
# **Total magnetization**: 0.00 μB/atom
# **Total DFT energy (no corrections)**: -52.77 eV for the cell shown
# **ΔE_f**: -1.553 eV/atom
data_DyAs
_cell_length_a 5.738
_cell_length_b 5.738
_cell_length_c 5.738
_cell_angle_alpha 90.00
_cell_angle_beta 90.00
_cell_angle_gamma 90.00
_space_group_name_H-M_alt 'F m -3 m'
_space_group_IT_number 225
_space_group_name_Hall '-F 4 2 3'
loop_
_atom_site_label
_atom_site_fract_x
_atom_site_fract_y
_atom_site_fract_z
Dy1 0.000 0.000 0.000
As1 0.000 0.000 0.500

***

(12)
# PBEsol DyNiAs, optimized geometry
# **Total magnetization**: 0.00 μB/atom
# **Total DFT energy (no corrections)**: -39.08 eV for the cell shown
# **ΔE_f**: -1.099 eV/atom
data_DyNiAs
_cell_length_a 3.9998
_cell_length_b 3.9998
_cell_length_c 7.5896
_cell_angle_alpha 90.00
_cell_angle_beta 90.00
_cell_angle_gamma 120.00
_space_group_name_H-M_alt 'P 63/m m c'
_space_group_IT_number 194
_space_group_name_Hall '-P 6c 2c'
loop_
_atom_site_label
_atom_site_fract_x
_atom_site_fract_y
_atom_site_fract_z
Dy1 0.0000 0.0000 0.0000
Ni1 0.3333 0.6667 0.2500
As1 0.3333 0.6667 0.7500

***

- Which value of total magnetization does entry 7 give?
  0.00 μB/atom